A plane-wave DFT calculation with PBE was carried out for a relaxed NaSrTlAs crystal.

Cell: 7.7000 7.7000 7.7000 Å, 90.00 90.00 90.00°
Space group F-43m (No. 216)
Symmetry-distinct sites (fractional):
Na 0.0000 0.0000 0.0000
Sr 0.0000 0.0000 0.5000
Tl 0.2500 0.2500 0.7500
As 0.2500 0.2500 0.2500

Results
- Energy relative to the elements: -0.41 eV/atom
- Spin magnetization: 0.0 μB/cell